Material: Tb3NdH
Method: DFT, GGA-PBE
State: relaxed

Total magnetization: 0.0 μB/f.u.
Energy: -22.87 eV per cell

Cell lengths 5.0434, 5.0434, 5.0434 Å; angles 90.00, 90.00, 90.00 degrees
Last column: nearest neighbours and their distance in Å.
Fractional coordinates of all 5 atoms:
H (0.0000, 0.0000, 0.0000)  6 Tb 2.52
Tb (0.0000, 0.5000, 0.0000)  2 H 2.52
Nd (0.5000, 0.5000, 0.5000)  12 Tb 3.57
Tb (0.5000, 0.0000, 0.0000)  2 H 2.52
Tb (0.0000, 0.0000, 0.5000)  2 H 2.52